[1]
Entry from the Alexandria database: an optimized crystal structure of Ce5Sb2Se2 (GGA-PBE).

It has space group Cmce (No. 64), with a = 15.442 Å, b = 8.062 Å, c = 8.089 Å, α = 90.00°, β = 90.00° and γ = 90.00°. Symmetry generates all atoms from Ce at (0.000, 0.000, 0.000), Ce at (0.127, 0.159, 0.340), Sb at (0.204, 0.000, 0.000) and Se at (0.000, 0.145, 0.645).

[2]
Entry from the Alexandria database: an optimized crystal structure of Sr2YCd (GGA-PBE).

It has space group Amm2 (No. 38), with a = 5.442 Å, b = 4.079 Å, c = 13.967 Å, α = 90.00°, β = 90.00° and γ = 90.00°. Symmetry generates all atoms from Sr at (0.000, 0.000, 0.000), Sr at (0.500, 0.000, 0.330), Y at (0.500, 0.000, 0.612) and Cd at (0.000, 0.000, 0.729).

The formation energy comes out at 2.6 kJ/mol of atoms.

[3]
Entry from the Alexandria database: an optimized crystal structure of Zr3W (GGA-PBE).

It has space group C2/m (No. 12), with a = 9.913 Å, b = 2.902 Å, c = 5.773 Å, α = 90.00°, β = 90.52° and γ = 90.00°. Symmetry generates all atoms from Zr at (0.000, 0.000, 0.000), Zr at (0.248, 0.500, 0.259) and W at (0.000, 0.500, 0.500).

The calculation puts the distance to the lowest polymorph of the same formula at 156 meV per atom. The formation energy comes out at 24.3 kJ/mol of atoms.

[4]
Entry from the Alexandria database: an optimized crystal structure of ZrAsRu2 (GGA-PBE).

It has space group R-3m (No. 166, hexagonal axes), with a = 3.1642 Å, b = 3.1642 Å, c = 23.4249 Å, α = 90.00°, β = 90.00° and γ = 120.00°. Symmetry generates all atoms from Zr at (0.0000, 0.0000, 0.0000), As at (0.0000, 0.0000, 0.5000) and Ru at (0.0000, 0.0000, 0.2446).

The formation energy comes out at -3.0 kJ/mol of atoms.

[5]
Entry from the Alexandria database: an optimized crystal structure of LiU2Ni4Ge3 (GGA-PBE).

It has space group P-4m2 (No. 115), with a = 3.924 Å, b = 3.924 Å, c = 10.191 Å, α = 90.00°, β = 90.00° and γ = 90.00°. Symmetry generates all atoms from Li at (0.000, 0.000, 0.000), U at (0.000, 0.500, 0.752), Ni at (0.000, 0.000, 0.500), Ni at (0.000, 0.500, 0.140), Ni at (0.500, 0.500, 0.500), Ge at (0.000, 0.500, 0.370) and Ge at (0.500, 0.500, 0.000).

The formation energy comes out at -31.5 kJ/mol of atoms.

[6]
Entry from the Alexandria database: an optimized crystal structure of CoSn6Os (GGA-PBE).

It has space group C2/m (No. 12), with a = 6.434 Å, b = 9.122 Å, c = 6.809 Å, α = 90.00°, β = 101.06° and γ = 90.00°. Symmetry generates all atoms from Co at (0.000, 0.000, 0.000), Sn at (0.191, 0.500, 0.178), Sn at (0.212, 0.173, 0.265) and Os at (0.000, 0.500, 0.500).

The formation energy comes out at 24.4 kJ/mol of atoms.

Number 1: D(E_F) 119.302 states/eV per cell, E -221.03 eV for the cell shown. Number 2: D(E_F) 12.961 states/eV per cell, E -21.27 eV for the cell shown. Number 3: D(E_F) 10.488 states/eV per cell, E -75.18 eV for the cell shown. Number 4: D(E_F) 11.741 states/eV per cell, E -95.63 eV for the cell shown. Number 5: D(E_F) 18.120 states/eV per cell, E -64.73 eV for the cell shown. Number 6: D(E_F) 11.962 states/eV per cell, E -80.65 eV for the cell shown.